Entry 1:
## PrDy6Mg2 (PBE)

Data for a geometry-optimized PrDy6Mg2 structure.

```
PrDy6Mg2
1.0
4.883 0.000 0.000
0.000 4.883 0.000
0.000 0.000 12.031
Pr Dy Mg
1 6 2
Direct
0.000 0.000 0.000
0.000 0.000 0.500
0.000 0.500 0.289
0.000 0.500 0.711
0.500 0.000 0.289
0.500 0.000 0.711
0.500 0.500 0.500
0.500 0.500 0.114
0.500 0.500 0.886
```

Values from the calculation:
Symmetry: P4/mmm, No. 123
DFT total energy, eV per atom: -3.8197

***

Entry 2:
## TiSeBr (PBE)

Data for a geometry-optimized TiSeBr structure.

```
TiSeBr
1.0
3.639 0.000 0.000
-1.819 3.151 0.000
0.000 0.000 6.829
Ti Se Br
1 1 1
Direct
0.000 0.000 0.000
0.667 0.333 0.209
0.333 0.667 0.752
```

Values from the calculation:
Energy relative to the elements, uncorrected, eV per atom: -1.128
Symmetry: P3m1, No. 156

***

Entry 3:
## Li2MnW (PBE)

Data for a geometry-optimized Li2MnW structure.

```
Li2MnW
1.0
1.502 -2.199 0.000
1.502 2.199 0.000
0.000 0.000 9.227
Li Mn W
2 1 1
Direct
0.000 0.000 0.000
0.500 0.500 0.279
0.000 0.000 0.519
0.500 0.500 0.739
```

Values from the calculation:
Symmetry: Cmm2, No. 35
Excess energy over the best structure of this formula in the dataset, meV per atom: 0